# 1
Sr2CdIr after structural relaxation, computed with PBEsol.

Lattice parameters (Å, degrees): 4.522 6.081 6.081 42.86 90.00 90.00
Fractional coordinates of all 4 atoms:
Sr1 0.000 0.000 0.000
Sr2 0.500 0.282 0.282
Cd1 0.000 0.704 0.704
Ir1 0.500 0.575 0.575

Computed properties:
DFT formation energy (meV/atom): -132
Mass density (g/cm3): 7.006
Total magnetic moment (μB per formula unit): 0.00



# 2
CdRh5 after structural relaxation, computed with PBEsol.

Lattice parameters (Å, degrees): 2.714 2.714 11.576 90.00 90.00 90.00
Fractional coordinates of all 6 atoms:
Cd1 0.000 0.000 0.000
Rh1 0.000 0.000 0.338
Rh2 0.000 0.000 0.662
Rh3 0.500 0.500 0.183
Rh4 0.500 0.500 0.500
Rh5 0.500 0.500 0.817

Computed properties:
DFT formation energy (meV/atom): 24
Mass density (g/cm3): 12.206
Total magnetic moment (μB per formula unit): 0.00



# 3
CaHgAu2 after structural relaxation, computed with PBEsol.

Lattice parameters (Å, degrees): 3.593 3.593 6.403 90.00 90.00 90.00
Fractional coordinates of all 4 atoms:
Ca1 0.000 0.000 0.000
Hg1 0.000 0.000 0.500
Au1 0.500 0.500 0.264
Au2 0.500 0.500 0.736

Computed properties:
DFT formation energy (meV/atom): -453
Mass density (g/cm3): 12.748
Total magnetic moment (μB per formula unit): 0.00



# 4
Ag3SnIr after structural relaxation, computed with PBEsol.

Lattice parameters (Å, degrees): 4.898 4.898 4.898 90.00 90.00 90.00
Fractional coordinates of all 5 atoms:
Ag1 0.000 0.000 0.500
Ag2 0.000 0.500 0.000
Ag3 0.500 0.000 0.000
Sn1 0.000 0.000 0.000
Ir1 0.500 0.500 0.500

Computed properties:
DFT formation energy (meV/atom): 1594
Mass density (g/cm3): 8.969
Total magnetic moment (μB per formula unit): 0.40



# 5
CeCuSn after structural relaxation, computed with PBEsol.

Lattice parameters (Å, degrees): 4.568 4.568 7.251 90.00 90.00 120.00
Fractional coordinates of all 6 atoms:
Ce1 0.000 0.000 0.000
Ce2 0.000 0.000 0.500
Cu1 0.333 0.667 0.188
Cu2 0.667 0.333 0.688
Sn1 0.333 0.667 0.763
Sn2 0.667 0.333 0.263

Computed properties:
DFT formation energy (meV/atom): -437
Mass density (g/cm3): 8.171
Total magnetic moment (μB per formula unit): 0.89



# 6
Be3Ru after structural relaxation, computed with PBEsol.

Lattice parameters (Å, degrees): 3.746 3.746 3.746 60.00 60.00 60.00
Fractional coordinates of all 4 atoms:
Be1 0.000 0.000 0.000
Be2 0.250 0.250 0.250
Be3 0.750 0.750 0.750
Ru1 0.500 0.500 0.500

Computed properties:
DFT formation energy (meV/atom): -191
Mass density (g/cm3): 5.725
Total magnetic moment (μB per formula unit): 0.00



# 7
Y3GeH after structural relaxation, computed with PBEsol.

Lattice parameters (Å, degrees): 4.630 4.630 4.630 90.00 90.00 90.00
Fractional coordinates of all 5 atoms:
Y1 0.000 0.000 0.500
Y2 0.000 0.500 0.000
Y3 0.500 0.000 0.000
Ge1 0.500 0.500 0.500
H1 0.000 0.000 0.000

Computed properties:
Mass density (g/cm3): 5.696
Total magnetic moment (μB per formula unit): 0.01
Electronic total energy (eV for the cell shown): -30.97



# 8
NiSe2Br after structural relaxation, computed with PBEsol.

Lattice parameters (Å, degrees): 4.548 3.596 5.139 90.00 108.25 90.00
Fractional coordinates of all 4 atoms:
Ni1 0.000 0.000 0.000
Se1 0.346 0.500 0.151
Se2 0.654 0.500 0.849
Br1 0.000 0.000 0.500

Computed properties:
Mass density (g/cm3): 6.168
Formation energy without anion corrections (meV per atom): -255.6
Total magnetic moment (μB per formula unit): 0.00



# 9
Li2CoRh after structural relaxation, computed with PBEsol.

Lattice parameters (Å, degrees): 4.622 4.622 4.274 102.59 102.59 32.71
Fractional coordinates of all 4 atoms:
Li1 0.247 0.247 0.250
Li2 0.753 0.753 0.750
Co1 0.500 0.500 0.000
Rh1 0.000 0.000 0.500

Computed properties:
DFT formation energy (meV/atom): 20
Mass density (g/cm3): 6.073
Total magnetic moment (μB per formula unit): 1.44



# 10
LaSi2 after structural relaxation, computed with PBEsol.

Lattice parameters (Å, degrees): 5.867 5.867 6.180 102.33 102.33 39.08
Fractional coordinates of all 6 atoms:
La1 0.176 0.176 0.216
La2 0.824 0.824 0.784
Si1 0.092 0.092 0.656
Si2 0.450 0.450 0.154
Si3 0.550 0.550 0.846
Si4 0.908 0.908 0.344

Computed properties:
Mass density (g/cm3): 4.959
Formation energy without anion corrections (meV per atom): -638.0
Total magnetic moment (μB per formula unit): 0.00



# 11
Ba2Sb2O7 after structural relaxation, computed with PBEsol.

Lattice parameters (Å, degrees): 7.691 7.691 7.691 119.86 92.48 117.31
Fractional coordinates of all 22 atoms:
Ba1 0.000 0.000 0.000
Ba2 0.500 0.000 0.000
Ba3 0.500 0.000 0.500
Ba4 0.500 0.500 0.500
Sb1 0.000 0.000 0.500
Sb2 0.000 0.500 0.000
Sb3 0.000 0.500 0.500
Sb4 0.500 0.500 0.000
O1 0.046 0.228 0.422
O2 0.046 0.624 0.818
O3 0.097 0.847 0.250
O4 0.297 0.709 0.588
O5 0.306 0.228 0.682
O6 0.306 0.624 0.078
O7 0.380 0.291 0.088
O8 0.620 0.709 0.912
O9 0.694 0.376 0.922
O10 0.694 0.772 0.318
O11 0.703 0.291 0.412
O12 0.903 0.153 0.750
O13 0.954 0.376 0.182
O14 0.954 0.772 0.578

Computed properties:
Mass density (g/cm3): 6.381
Formation energy without anion corrections (meV per atom): -2060.1
Total magnetic moment (μB per formula unit): 0.00



# 12
MgFeNi3 after structural relaxation, computed with PBEsol.

Lattice parameters (Å, degrees): 4.239 4.239 4.239 90.00 90.00 90.00
Fractional coordinates of all 5 atoms:
Mg1 0.000 0.000 0.000
Fe1 0.500 0.500 0.500
Ni1 0.000 0.500 0.500
Ni2 0.500 0.000 0.500
Ni3 0.500 0.500 0.000

Computed properties:
DFT formation energy (meV/atom): 755
Mass density (g/cm3): 5.586
Total magnetic moment (μB per formula unit): 4.54